Pm2ZrSc (PBE, optimized geometry); size of the total moment = 0.00 μB/f.u.; ΔE_f = 0.115 eV/atom; excess energy over the best structure of this formula in the dataset = 0.0 meV/atom
1.0
4.842 0.000 0.000
0.000 4.842 0.000
0.000 0.000 4.812
Pm Zr Sc
2 1 1
direct
0.000 0.500 0.000
0.500 0.000 0.000
0.000 0.000 0.500
0.500 0.500 0.500


Pm2ZrSc (PBE, optimized geometry); size of the total moment = 0.00 μB/f.u.; ΔE_f = 0.171 eV/atom; excess energy over the best structure of this formula in the dataset = 56.0 meV/atom
1.0
3.998 0.000 0.000
0.000 3.998 0.000
0.000 0.000 7.084
Pm Zr Sc
2 1 1
direct
0.000 0.000 0.241
0.000 0.000 0.759
0.500 0.500 0.000
0.500 0.500 0.500


PmZr2Sc (PBE, optimized geometry); size of the total moment = 0.00 μB/f.u.; ΔE_f = 0.113 eV/atom; excess energy over the best structure of this formula in the dataset = 0.0 meV/atom
1.0
4.650 0.000 0.000
0.000 4.650 0.000
0.000 0.000 4.706
Pm Zr Sc
1 2 1
direct
0.000 0.000 0.000
0.000 0.500 0.500
0.500 0.000 0.500
0.500 0.500 0.000


PmZr2Sc6 (PBE, optimized geometry); size of the total moment = 0.00 μB/f.u.; ΔE_f = 0.083 eV/atom
1.0
5.855 -6.632 0.000
5.855 6.632 0.000
-1.391 0.000 5.818
Pm Zr Sc
2 4 12
direct
0.117 0.883 0.750
0.883 0.117 0.250
0.342 0.390 0.628
0.390 0.342 0.128
0.610 0.658 0.872
0.658 0.610 0.372
0.060 0.235 0.825
0.070 0.465 0.286
0.235 0.060 0.325
0.273 0.637 0.988
0.363 0.727 0.512
0.465 0.070 0.786
0.535 0.930 0.214
0.637 0.273 0.488
0.727 0.363 0.012
0.765 0.940 0.675
0.930 0.535 0.714
0.940 0.765 0.175


PmZrSc6 (PBE, optimized geometry); size of the total moment = 0.54 μB/f.u.; ΔE_f = 0.504 eV/atom
1.0
4.199 0.000 0.000
0.000 4.199 0.000
0.000 0.000 12.588
Pm Zr Sc
1 1 6
direct
0.000 0.000 0.000
0.000 0.000 0.500
0.000 0.500 0.314
0.000 0.500 0.686
0.500 0.000 0.314
0.500 0.000 0.686
0.500 0.500 0.122
0.500 0.500 0.878


Pm2ZrSc (PBE, optimized geometry); size of the total moment = 0.00 μB/f.u.; ΔE_f = 0.302 eV/atom; excess energy over the best structure of this formula in the dataset = 187.3 meV/atom
1.0
1.666 0.962 11.887
-1.666 0.962 11.887
0.000 -1.923 11.887
Pm Zr Sc
2 1 1
direct
0.088 0.088 0.088
0.912 0.912 0.912
0.000 0.000 0.000
0.500 0.500 0.500


Pm2ZrSc (PBE, optimized geometry); size of the total moment = 0.78 μB/f.u.; ΔE_f = 0.188 eV/atom; excess energy over the best structure of this formula in the dataset = 73.4 meV/atom
1.0
0.000 3.833 3.833
3.833 0.000 3.833
3.833 3.833 0.000
Pm Zr Sc
2 1 1
direct
0.250 0.250 0.250
0.750 0.750 0.750
0.000 0.000 0.000
0.500 0.500 0.500


PmZr6Sc12 (PBE, optimized geometry); size of the total moment = 3.41 μB/f.u.; ΔE_f = 0.465 eV/atom
1.0
6.276 3.624 3.612
-6.276 3.624 3.612
0.000 -7.247 3.612
Pm Zr Sc
1 6 12
direct
0.000 0.000 0.000
0.232 0.232 0.735
0.232 0.735 0.232
0.265 0.768 0.768
0.735 0.232 0.232
0.768 0.265 0.768
0.768 0.768 0.265
0.114 0.500 0.886
0.114 0.886 0.500
0.163 0.447 0.447
0.447 0.163 0.447
0.447 0.447 0.163
0.500 0.114 0.886
0.500 0.886 0.114
0.553 0.553 0.837
0.553 0.837 0.553
0.837 0.553 0.553
0.886 0.114 0.500
0.886 0.500 0.114


PmZr3Sc6 (PBE, optimized geometry); size of the total moment = 0.00 μB/f.u.; ΔE_f = 0.173 eV/atom
1.0
5.017 -8.462 0.000
5.017 8.462 0.000
0.000 0.000 5.847
Pm Zr Sc
2 6 12
direct
0.190 0.810 0.500
0.810 0.190 0.000
0.076 0.302 0.335
0.302 0.076 0.835
0.388 0.612 0.422
0.612 0.388 0.922
0.698 0.924 0.335
0.924 0.698 0.835
0.036 0.964 0.208
0.058 0.475 0.737
0.260 0.740 0.020
0.291 0.379 0.908
0.379 0.291 0.408
0.475 0.058 0.237
0.525 0.942 0.737
0.621 0.709 0.908
0.709 0.621 0.408
0.740 0.260 0.520
0.942 0.525 0.237
0.964 0.036 0.708


PmZrSc (PBE, optimized geometry); size of the total moment = 0.00 μB/f.u.; ΔE_f = 0.137 eV/atom; excess energy over the best structure of this formula in the dataset = 58.6 meV/atom
1.0
5.297 0.000 0.000
-2.648 4.587 0.000
0.000 0.000 3.238
Pm Zr Sc
1 1 1
direct
0.000 0.000 0.000
0.333 0.667 0.000
0.667 0.333 0.500


Pm2ZrSc6 (PBE, optimized geometry); size of the total moment = 0.00 μB/f.u.; ΔE_f = 0.069 eV/atom
1.0
9.127 0.000 0.000
-4.564 7.904 0.000
0.000 0.000 3.253
Pm Zr Sc
2 1 6
direct
0.333 0.667 0.000
0.667 0.333 0.000
0.000 0.000 0.000
0.000 0.323 0.500
0.000 0.677 0.500
0.323 0.000 0.500
0.323 0.323 0.500
0.677 0.000 0.500
0.677 0.677 0.500


PmZr2Sc (PBE, optimized geometry); size of the total moment = 0.00 μB/f.u.; ΔE_f = 0.122 eV/atom; excess energy over the best structure of this formula in the dataset = 8.8 meV/atom
1.0
1.652 0.954 10.804
-1.652 0.954 10.804
0.000 -1.908 10.804
Pm Zr Sc
1 2 1
direct
0.000 0.000 0.000
0.246 0.246 0.246
0.420 0.420 0.420
0.833 0.833 0.833


PmZrSc (PBE, optimized geometry); size of the total moment = 0.00 μB/f.u.; ΔE_f = 0.079 eV/atom; excess energy over the best structure of this formula in the dataset = 0.0 meV/atom
1.0
3.368 0.000 0.000
-1.684 2.917 0.000
0.000 0.000 16.382
Pm Zr Sc
2 2 2
direct
0.000 0.000 0.000
0.333 0.667 0.195
0.000 0.000 0.675
0.667 0.333 0.524
0.000 0.000 0.369
0.333 0.667 0.828


Pm2ZrSc (PBE, optimized geometry); size of the total moment = 0.00 μB/f.u.; ΔE_f = 0.137 eV/atom; excess energy over the best structure of this formula in the dataset = 22.0 meV/atom
1.0
1.723 0.995 11.077
-1.723 0.995 11.077
0.000 -1.989 11.077
Pm Zr Sc
2 1 1
direct
0.000 0.000 0.000
0.164 0.164 0.164
0.415 0.415 0.415
0.583 0.583 0.583


PmZr2Sc (PBE, optimized geometry); size of the total moment = 0.00 μB/f.u.; ΔE_f = 0.128 eV/atom; excess energy over the best structure of this formula in the dataset = 14.5 meV/atom
1.0
1.647 0.951 10.844
-1.647 0.951 10.844
0.000 -1.902 10.844
Pm Zr Sc
1 2 1
direct
0.000 0.000 0.000
0.247 0.247 0.247
0.753 0.753 0.753
0.500 0.500 0.500


PmZr2Sc (PBE, optimized geometry); size of the total moment = 0.00 μB/f.u.; ΔE_f = 0.180 eV/atom; excess energy over the best structure of this formula in the dataset = 67.2 meV/atom
1.0
3.806 0.000 0.000
0.000 3.806 0.000
0.000 0.000 7.096
Pm Zr Sc
1 2 1
direct
0.000 0.000 0.000
0.500 0.500 0.286
0.500 0.500 0.714
0.000 0.000 0.500


PmZr5Sc12 (PBE, optimized geometry); size of the total moment = 0.00 μB/f.u.; ΔE_f = 0.029 eV/atom
1.0
2.828 -4.899 0.000
2.828 4.899 0.000
-1.881 0.000 15.802
Pm Zr Sc
1 5 12
direct
0.000 0.000 0.000
0.167 0.833 0.500
0.333 0.667 0.000
0.500 0.500 0.500
0.667 0.333 0.000
0.833 0.167 0.500
0.057 0.716 0.169
0.114 0.447 0.340
0.220 0.220 0.660
0.284 0.943 0.831
0.397 0.397 0.169
0.447 0.114 0.340
0.553 0.886 0.660
0.603 0.603 0.831
0.716 0.057 0.169
0.780 0.780 0.340
0.886 0.553 0.660
0.943 0.284 0.831


Pm2Se3 (PBE, optimized geometry); size of the total moment = 0.00 μB/f.u.; energy relative to the elements, uncorrected = -1903 meV per atom
1.0
11.459 0.000 0.000
0.000 4.155 0.000
0.000 0.000 11.153
Pm Se
8 12
direct
0.012 0.250 0.187
0.194 0.250 0.502
0.306 0.750 0.002
0.488 0.750 0.687
0.512 0.250 0.313
0.694 0.250 0.998
0.806 0.750 0.498
0.988 0.750 0.813
0.045 0.750 0.375
0.120 0.250 0.944
0.228 0.750 0.698
0.272 0.250 0.198
0.380 0.750 0.444
0.455 0.250 0.875
0.545 0.750 0.125
0.620 0.250 0.556
0.728 0.750 0.802
0.772 0.250 0.302
0.880 0.750 0.056
0.955 0.250 0.625


PmSe3 (PBE, optimized geometry); size of the total moment = 0.00 μB/f.u.; energy relative to the elements, uncorrected = -918 meV per atom
1.0
-2.078 2.078 5.395
2.078 -2.078 5.395
2.078 2.078 -5.395
Pm Se
1 3
direct
0.000 0.000 0.000
0.250 0.750 0.500
0.500 0.500 0.000
0.750 0.250 0.500


Pm5Se7 (PBE, optimized geometry); size of the total moment = 0.00 μB/f.u.; energy relative to the elements, uncorrected = -1883 meV per atom
1.0
6.901 -2.040 0.000
6.901 2.040 0.000
-3.148 0.000 12.058
Pm Se
5 7
direct
0.000 0.000 0.000
0.113 0.113 0.422
0.300 0.300 0.189
0.700 0.700 0.811
0.887 0.887 0.578
0.041 0.041 0.784
0.259 0.259 0.649
0.340 0.340 0.950
0.500 0.500 0.500
0.660 0.660 0.050
0.741 0.741 0.351
0.959 0.959 0.216